Record 1
{"formula": "Th2Ga3Ni5", "functional": "GGA-PBE", "state": "relaxed", "delta_e_f_ev_per_atom": -0.516, "dos_ef_per_ev_atom": 0.73, "magnetic_moment_mub_per_cell": 0.0, "space_group": "Ibam (72)", "cell": [[-2.545, -3.574, -3.550], [-5.347, -4.714, 4.093], [-7.448, 2.842, -2.007]], "species": ["Th", "Th", "Th", "Th", "Ga", "Ga", "Ga", "Ga", "Ga", "Ga", "Ni", "Ni", "Ni", "Ni", "Ni", "Ni", "Ni", "Ni", "Ni", "Ni"], "frac_coords": [[0.127, 0.608, 0.138], [0.627, 0.138, 0.608], [0.873, 0.392, 0.862], [0.373, 0.862, 0.392], [0.356, 0.548, 0.739], [0.856, 0.739, 0.548], [0.644, 0.452, 0.261], [0.144, 0.261, 0.452], [0.250, 0.000, 0.000], [0.750, 0.000, 0.000], [0.389, 0.276, 0.945], [0.889, 0.945, 0.276], [0.611, 0.724, 0.055], [0.111, 0.055, 0.724], [0.462, 0.788, 0.788], [0.538, 0.212, 0.212], [0.750, 0.500, 0.500], [0.250, 0.500, 0.500], [0.038, 0.212, 0.212], [0.962, 0.788, 0.788]]}

***

Record 2
{"formula": "TbNd2Er4Th", "functional": "GGA-PBE", "state": "relaxed", "delta_e_f_ev_per_atom": 0.031, "dos_ef_per_ev_atom": 1.38, "magnetic_moment_mub_per_cell": 0.0, "space_group": "Pmmm (47)", "cell": [[-4.536, 1.015, -2.068], [-1.833, -4.336, 1.892], [-4.544, 0.435, 10.181]], "species": ["Tb", "Nd", "Nd", "Er", "Er", "Er", "Er", "Th"], "frac_coords": [[0.500, 0.500, 0.000], [0.000, 0.000, 0.000], [0.500, 0.000, 0.500], [0.000, 0.753, 0.747], [0.000, 0.247, 0.253], [0.500, 0.746, 0.253], [0.500, 0.254, 0.747], [0.000, 0.500, 0.500]]}